[1]
YMnPb2 | PBE-GGA | optimized geometry

For the density of states at the Fermi level, the calculation gives 4.05 states/eV/cell. Its theoretical density is 8.859 Mg/m³. The calculation puts the energy above the most stable polymorph in this dataset at 146.1 meV/atom. The value obtained for the total energy is -5.663 eV/atom. The calculation puts the formation energy at 0.1000 eV per atom.

The structure belongs to space group P4mm (No. 99); the cell edges are 3.583, 3.583 and 8.149 Å and the angles 90.00°, 90.00° and 90.00°. The inequivalent atoms are Y at (0.000, 0.000, 0.000), Mn at (0.500, 0.500, 0.221), Pb at (0.000, 0.000, 0.418) and Pb at (0.500, 0.500, 0.721).

[2]
YMnPb2 | PBE-GGA | optimized geometry

For the density of states at the Fermi level, the calculation gives 2.99 states/eV/cell. Its theoretical density is 8.883 Mg/m³. The calculation puts the energy above the most stable polymorph in this dataset at 129.9 meV/atom. The value obtained for the total energy is -5.679 eV/atom. The calculation puts the formation energy at 0.0837 eV per atom.

The structure belongs to space group Pmm2 (No. 25); the cell edges are 3.709, 4.379 and 6.425 Å and the angles 90.00°, 90.00° and 90.00°. The inequivalent atoms are Y at (0.000, 0.000, 0.000), Mn at (0.500, 0.500, 0.242), Pb at (0.000, 0.000, 0.474) and Pb at (0.500, 0.500, 0.757).